A geometry-optimized SmGdGaHg structure. Source: Alexandria via LeMat-Bulk, functional PBE-GGA.

Geometry as POSCAR:
```
SmGdGaHg
1.0
7.425 0.000 0.000
0.000 7.425 0.000
0.000 0.000 7.425
Sm Gd Ga Hg
4 4 4 4
Direct
0.000 0.000 0.000
0.000 0.500 0.500
0.500 0.000 0.500
0.500 0.500 0.000
0.000 0.000 0.500
0.000 0.500 0.000
0.500 0.000 0.000
0.500 0.500 0.500
0.250 0.250 0.750
0.250 0.750 0.250
0.750 0.250 0.250
0.750 0.750 0.750
0.250 0.250 0.250
0.250 0.750 0.750
0.750 0.250 0.750
0.750 0.750 0.250
```

Magnetic moment (μB/f.u.): 8.0
SG: F-43m, No. 216
Final energy (eV/atom): -6.0586
Energy relative to the elements (meV per atom): -526.4
DOS(E_F) (states/eV per cell): 14.2